No. 1
A relaxed structure of Y6Th2Sc. Source: the Alexandria database, functional PBE.

Output
The size of the total moment comes out at 0.000 μB/f.u. The formation energy is 0.1828 eV per atom.

POSCAR file:
```
Y6Th2Sc
1.0
10.516 1.859 4.239
4.449 8.102 3.087
3.141 2.018 9.002
Y Th Sc
12 4 2
Direct
0.469 0.635 0.129 Y
0.214 0.827 0.886 Y
0.286 0.114 0.173 Y
0.991 0.454 0.712 Y
0.786 0.173 0.114 Y
0.031 0.871 0.365 Y
0.009 0.546 0.288 Y
0.714 0.886 0.827 Y
0.531 0.365 0.871 Y
0.969 0.129 0.635 Y
0.491 0.712 0.454 Y
0.509 0.288 0.546 Y
0.364 0.207 0.392 Th
0.864 0.392 0.207 Th
0.136 0.608 0.793 Th
0.636 0.793 0.608 Th
0.250 0.102 0.898 Sc
0.750 0.898 0.102 Sc
```

No. 2
A relaxed structure of YThSc2. Source: the Alexandria database, functional PBE.

Output
The size of the total moment comes out at 0.000 μB/f.u. The formation energy is 0.0569 eV per atom.

POSCAR file:
```
YThSc2
1.0
-1.057 0.920 -3.635
-3.729 -0.652 0.919
-0.747 7.130 2.022
Sc Y Th
2 1 1
Direct
0.000 0.000 0.241 Sc
0.000 0.000 0.759 Sc
0.500 0.500 0.500 Y
0.500 0.500 0.000 Th
```